Computed, not measured: a relaxed structure of LaTi3Cd at the PBE-GGA level of DFT.

Summary:
D(E_F) ... 0.8264 states/eV/atom
Energy above the lowest structure with this stoichiometry ... 197 meV per atom
Final energy ... -4.783 eV per atom

a b c (Å): 4.8010 4.8010 4.8010
angles (deg): 90.00 90.00 90.00
Element x y z (fractional)
Cd1 0.5000 0.5000 0.5000
Ti1 0.0000 0.5000 0.0000
Ti2 0.0000 0.0000 0.5000
Ti3 0.5000 0.0000 0.0000
La1 0.0000 0.0000 0.0000

***

Computed, not measured: a relaxed structure of LaTiCd3 at the PBE-GGA level of DFT.

Summary:
D(E_F) ... 1.0382 states/eV/atom
Energy above the lowest structure with this stoichiometry ... 0 meV per atom
Final energy ... -2.836 eV per atom

a b c (Å): 5.2446 5.2446 5.2446
angles (deg): 90.00 90.00 90.00
Element x y z (fractional)
Cd1 0.0000 0.5000 0.0000
Cd2 0.0000 0.0000 0.5000
Cd3 0.5000 0.0000 0.0000
Ti1 0.0000 0.0000 0.0000
La1 0.5000 0.5000 0.5000

***

Computed, not measured: a relaxed structure of La2Ti2Cd at the PBE-GGA level of DFT.

Summary:
D(E_F) ... 1.7679 states/eV/atom
Final energy ... -5.130 eV per atom

a b c (Å): 7.4601 7.4601 4.6952
angles (deg): 90.00 90.00 90.00
Element x y z (fractional)
Cd1 0.0000 0.0000 0.0000
Cd2 0.5000 0.5000 0.0000
Ti1 0.3687 0.8687 0.0000
Ti2 0.8687 0.6313 0.0000
Ti3 0.6313 0.1313 0.0000
Ti4 0.1313 0.3687 0.0000
La1 0.1666 0.6666 0.5000
La2 0.6666 0.8334 0.5000
La3 0.8334 0.3334 0.5000
La4 0.3334 0.1666 0.5000

***

Computed, not measured: a relaxed structure of LaTiCd3 at the PBE-GGA level of DFT.

Summary:
D(E_F) ... 1.4804 states/eV/atom
Energy above the lowest structure with this stoichiometry ... 954 meV per atom
Final energy ... -1.883 eV per atom

a b c (Å): 5.9036 5.9036 5.9036
angles (deg): 90.00 90.00 90.00
Element x y z (fractional)
Cd1 0.0000 0.5000 0.0000
Cd2 0.0000 0.0000 0.5000
Cd3 0.5000 0.0000 0.0000
Ti1 0.5000 0.5000 0.5000
La1 0.0000 0.0000 0.0000

***

Computed, not measured: a relaxed structure of La2TiCd at the PBE-GGA level of DFT.

Summary:
D(E_F) ... 0.9677 states/eV/atom
Final energy ... -4.339 eV per atom

a b c (Å): 3.2495 3.2495 11.9680
angles (deg): 82.20 82.20 60.00
Element x y z (fractional)
Cd1 0.5000 0.5000 0.5000
Ti1 0.0000 0.0000 0.0000
La1 0.0819 0.0819 0.7543
La2 0.9181 0.9181 0.2457

***

Computed, not measured: a relaxed structure of LaTi3Cd at the PBE-GGA level of DFT.

Summary:
D(E_F) ... 1.7030 states/eV/atom
Energy above the lowest structure with this stoichiometry ... 0 meV per atom
Final energy ... -4.980 eV per atom

a b c (Å): 5.1198 5.1198 5.1198
angles (deg): 90.00 90.00 90.00
Element x y z (fractional)
Cd1 0.0000 0.0000 0.0000
Ti1 0.0000 0.5000 0.0000
Ti2 0.0000 0.0000 0.5000
Ti3 0.5000 0.0000 0.0000
La1 0.5000 0.5000 0.5000

***

Computed, not measured: a relaxed structure of La2TiCd at the PBE-GGA level of DFT.

Summary:
D(E_F) ... 1.3445 states/eV/atom
Final energy ... -4.323 eV per atom

a b c (Å): 8.5701 8.5701 6.8280
angles (deg): 51.13 51.13 90.00
Element x y z (fractional)
Cd1 0.0000 0.0000 0.0000
Cd2 0.7500 0.2500 0.5000
Ti1 0.5000 0.5000 0.0000
Ti2 0.2500 0.7500 0.5000
La1 0.6082 0.1250 0.2500
La2 0.1418 0.6250 0.2500
La3 0.3750 0.3918 0.7500
La4 0.8750 0.8582 0.7500

***

Computed, not measured: a relaxed structure of La2TiTlCd at the PBE-GGA level of DFT.

Summary:
D(E_F) ... 3.6268 states/eV/atom
Final energy ... -3.344 eV per atom

a b c (Å): 5.9002 5.2181 5.9002
angles (deg): 90.00 90.00 90.00
Element x y z (fractional)
Tl1 0.0000 0.5000 0.0000
Cd1 0.0000 0.0000 0.0000
Ti1 0.5000 0.5000 0.5000
La1 0.0000 0.0000 0.5000
La2 0.5000 0.0000 0.0000

***

Which of these has the highest final energy? number 4